a.
Density functional theory data (PBE) for a geometry-optimized La2Dy6Er structure.

Structure (CIF):
```
data_La2Dy6Er
_cell_length_a 7.685
_cell_length_b 7.685
_cell_length_c 5.965
_cell_angle_alpha 90.05
_cell_angle_beta 90.05
_cell_angle_gamma 59.95
_symmetry_space_group_name_H-M 'P 1'
_symmetry_Int_Tables_number 1
loop_
_symmetry_equiv_pos_as_xyz
'x,y,z'
loop_
_atom_site_label
_atom_site_fract_x
_atom_site_fract_y
_atom_site_fract_z
La1 0.167 0.167 0.215
La2 0.833 0.833 0.785
Dy1 0.124 0.688 0.292
Dy2 0.312 0.312 0.709
Dy3 0.312 0.876 0.708
Dy4 0.688 0.124 0.292
Dy5 0.688 0.688 0.291
Dy6 0.876 0.312 0.708
Er1 0.500 0.500 0.000
```

Computed properties:
* crystal system: monoclinic
* mass density: 7.7 g/cm3


b.
Density functional theory data (PBE) for a geometry-optimized La2Dy6Er structure.

Structure (CIF):
```
data_La2Dy6Er
_cell_length_a 9.823
_cell_length_b 9.823
_cell_length_c 3.503
_cell_angle_alpha 90.08
_cell_angle_beta 90.08
_cell_angle_gamma 59.97
_symmetry_space_group_name_H-M 'P 1'
_symmetry_Int_Tables_number 1
loop_
_symmetry_equiv_pos_as_xyz
'x,y,z'
loop_
_atom_site_label
_atom_site_fract_x
_atom_site_fract_y
_atom_site_fract_z
La1 0.167 0.167 0.000
La2 0.833 0.833 0.000
Dy1 0.170 0.500 0.499
Dy2 0.170 0.830 0.500
Dy3 0.500 0.170 0.499
Dy4 0.500 0.830 0.501
Dy5 0.830 0.170 0.500
Dy6 0.830 0.500 0.501
Er1 0.500 0.500 0.000
```

Computed properties:
* crystal system: monoclinic
* mass density: 8.1 g/cm3


Which of them is the most stable, and which is the least stable? b and a, in that order.


a.
Density functional theory data (PBE) for a geometry-optimized LaDy3Er3 structure.

Structure (CIF):
```
data_LaDy3Er3
_cell_length_a 12.855
_cell_length_b 12.855
_cell_length_c 6.618
_cell_angle_alpha 99.89
_cell_angle_beta 99.89
_cell_angle_gamma 117.11
_symmetry_space_group_name_H-M 'P 1'
_symmetry_Int_Tables_number 1
loop_
_symmetry_equiv_pos_as_xyz
'x,y,z'
loop_
_atom_site_label
_atom_site_fract_x
_atom_site_fract_y
_atom_site_fract_z
La1 0.000 0.000 0.000
La2 0.000 0.823 0.387
La3 0.177 0.177 0.563
La4 0.823 0.000 0.387
Dy1 0.000 0.533 0.203
Dy2 0.000 0.713 0.838
Dy3 0.262 0.732 0.727
Dy4 0.269 0.530 0.995
Dy5 0.287 0.287 0.124
Dy6 0.468 0.468 0.670
Dy7 0.470 0.738 0.465
Dy8 0.530 0.269 0.995
Dy9 0.533 0.000 0.203
Dy10 0.713 0.000 0.838
Dy11 0.732 0.262 0.727
Dy12 0.738 0.470 0.465
Er1 0.000 0.255 0.941
Er2 0.000 0.454 0.681
Er3 0.196 0.445 0.435
Er4 0.249 0.804 0.239
Er5 0.255 0.000 0.941
Er6 0.445 0.196 0.435
Er7 0.454 0.000 0.681
Er8 0.546 0.546 0.227
Er9 0.556 0.752 0.991
Er10 0.745 0.745 0.686
Er11 0.752 0.556 0.991
Er12 0.804 0.249 0.239
```

Computed properties:
* crystal system: monoclinic
* mass density: 8.2 g/cm3


b.
Density functional theory data (PBE) for a geometry-optimized LaDy3Er3 structure.

Structure (CIF):
```
data_LaDy3Er3
_cell_length_a 6.303
_cell_length_b 6.303
_cell_length_c 6.303
_cell_angle_alpha 102.90
_cell_angle_beta 102.90
_cell_angle_gamma 102.90
_symmetry_space_group_name_H-M 'P 1'
_symmetry_Int_Tables_number 1
loop_
_symmetry_equiv_pos_as_xyz
'x,y,z'
loop_
_atom_site_label
_atom_site_fract_x
_atom_site_fract_y
_atom_site_fract_z
La1 0.000 0.000 0.000
Dy1 0.587 0.587 0.943
Dy2 0.587 0.943 0.587
Dy3 0.943 0.587 0.587
Er1 0.144 0.144 0.547
Er2 0.144 0.547 0.144
Er3 0.547 0.144 0.144
```

Computed properties:
* crystal system: trigonal
* mass density: 8.2 g/cm3


Which of them is the most stable, and which is the least stable? a and b, in that order.


a.
Density functional theory data (PBE) for a geometry-optimized LaDyEr5 structure.

Structure (CIF):
```
data_LaDyEr5
_cell_length_a 8.823
_cell_length_b 8.823
_cell_length_c 8.823
_cell_angle_alpha 132.75
_cell_angle_beta 99.13
_cell_angle_gamma 99.35
_symmetry_space_group_name_H-M 'P 1'
_symmetry_Int_Tables_number 1
loop_
_symmetry_equiv_pos_as_xyz
'x,y,z'
loop_
_atom_site_label
_atom_site_fract_x
_atom_site_fract_y
_atom_site_fract_z
La1 0.500 0.000 0.000
La2 0.500 0.500 0.500
Dy1 0.210 0.460 0.750
Dy2 0.790 0.540 0.250
Er1 0.000 0.250 0.250
Er2 0.000 0.750 0.750
Er3 0.211 0.961 0.250
Er4 0.213 0.250 0.963
Er5 0.213 0.750 0.463
Er6 0.500 0.250 0.750
Er7 0.500 0.750 0.250
Er8 0.787 0.250 0.537
Er9 0.787 0.750 0.037
Er10 0.789 0.039 0.750
```

Computed properties:
* crystal system: orthorhombic
* mass density: 8.2 g/cm3


b.
Density functional theory data (PBE) for a geometry-optimized LaDyEr5 structure.

Structure (CIF):
```
data_LaDyEr5
_cell_length_a 5.777
_cell_length_b 8.592
_cell_length_c 11.820
_cell_angle_alpha 90.00
_cell_angle_beta 90.00
_cell_angle_gamma 90.00
_symmetry_space_group_name_H-M 'P 1'
_symmetry_Int_Tables_number 1
loop_
_symmetry_equiv_pos_as_xyz
'x,y,z'
loop_
_atom_site_label
_atom_site_fract_x
_atom_site_fract_y
_atom_site_fract_z
La1 0.000 0.000 0.000
La2 0.500 0.500 0.500
Dy1 0.000 0.000 0.500
Dy2 0.500 0.500 0.000
Er1 0.000 0.000 0.254
Er2 0.000 0.000 0.746
Er3 0.000 0.321 0.500
Er4 0.000 0.500 0.000
Er5 0.000 0.679 0.500
Er6 0.500 0.000 0.500
Er7 0.500 0.179 0.000
Er8 0.500 0.500 0.246
Er9 0.500 0.500 0.754
Er10 0.500 0.821 0.000
```

Computed properties:
* crystal system: orthorhombic
* mass density: 6.4 g/cm3


Which of them is the most stable, and which is the least stable? a and b, in that order.